[1]
An optimized crystal structure of CaNd3Ir, computed with PBE.

a b c (Å): 5.662 5.662 5.662
angles (deg): 90.00 90.00 90.00
Fractional positions:
Ir 0.000 0.000 0.000
Nd 0.500 0.000 0.000
Ca 0.500 0.500 0.500
Nd 0.000 0.500 0.000
Nd 0.000 0.000 0.500

Space group   Pm-3m (221)
Density   6083 kg/m³
Formation energy from the elements   -0.2425 eV/atom
ΔE to the lowest computed polymorph   3 meV/atom

[2]
An optimized crystal structure of Nd8Te4CSe3, computed with PBE.

a b c (Å): 8.545 8.760 8.545
angles (deg): 119.19 120.00 90.00
Fractional positions:
Te 0.500 0.000 0.500
Nd 0.219 0.705 0.987
Nd 0.781 0.295 0.013
Nd 0.741 0.722 0.481
Nd 0.781 0.295 0.563
Nd 0.259 0.278 0.519
Nd 0.232 0.295 0.013
Se 0.000 0.500 0.500
Te 0.000 0.000 0.500
Se 0.500 0.500 0.000
Nd 0.219 0.705 0.437
Nd 0.768 0.705 0.987
Se 0.500 0.500 0.500
Te 0.000 0.000 0.000
Te 0.500 0.000 0.000
C 0.000 0.500 0.000

Space group   R-3m (166)
Density   6941 kg/m³
Formation energy from raw total energies   -1.4517 eV/atom

[3]
An optimized crystal structure of Cs3NaPd2F9, computed with PBE.

a b c (Å): 6.279 6.279 7.698
angles (deg): 90.00 90.00 120.00
Fractional positions:
F 0.000 0.500 0.000
F 0.351 0.175 0.685
F 0.175 0.825 0.315
Cs 0.333 0.667 0.656
Na 0.000 0.000 0.500
F 0.649 0.825 0.315
F 0.825 0.175 0.685
Cs 0.000 0.000 0.000
Cs 0.667 0.333 0.344
Pd 0.667 0.333 0.844
F 0.825 0.649 0.685
F 0.500 0.500 0.000
F 0.500 0.000 0.000
Pd 0.333 0.667 0.156
F 0.175 0.351 0.315

Space group   P-3m1 (164)
Density   5090 kg/m³
Formation energy from raw total energies   -2.1006 eV/atom

[4]
An optimized crystal structure of KP4, computed with PBE.

a b c (Å): 4.468 9.245 5.691
angles (deg): 72.23 76.66 35.28
Fractional positions:
P 0.220 0.620 0.746
P 0.035 0.616 0.423
P 0.965 0.384 0.577
K 0.000 0.000 0.000
P 0.780 0.380 0.254

Space group   P-1 (2)
Density   2094 kg/m³
Formation energy from the elements   -0.1009 eV/atom
ΔE to the lowest computed polymorph   0 meV/atom

[5]
An optimized crystal structure of Fe6BMo6C, computed with PBE.

a b c (Å): 7.854 7.854 7.854
angles (deg): 120.17 120.03 89.82
Fractional positions:
Fe 0.500 0.500 0.500
Mo 0.668 0.326 0.746
Mo 0.920 0.674 0.842
Fe 0.607 0.702 0.904
C 0.000 0.000 0.000
B 0.000 0.500 0.000
Mo 0.332 0.077 0.658
Mo 0.081 0.331 0.750
Fe 0.500 0.500 0.000
Fe 0.000 0.500 0.500
Mo 0.326 0.076 0.250
Fe 0.298 0.702 0.596
Mo 0.080 0.326 0.158
Mo 0.080 0.923 0.754
Mo 0.668 0.923 0.342
Fe 0.393 0.298 0.096
Fe 0.703 0.298 0.095
C 0.500 0.000 0.500
Mo 0.920 0.077 0.246
B 0.000 0.000 0.500
Fe 0.500 0.000 0.000
Fe 0.297 0.392 0.595
Fe 0.703 0.608 0.405
Mo 0.919 0.669 0.250
Fe 0.297 0.702 0.905
Mo 0.674 0.924 0.750
Fe 0.702 0.298 0.404
Mo 0.332 0.674 0.254

Space group   Imma (74)
Density   9064 kg/m³
Formation energy from the elements   -0.0447 eV/atom

[6]
An optimized crystal structure of Nd5Zn3, computed with PBE.

a b c (Å): 3.711 3.711 16.118
angles (deg): 90.00 90.00 90.00
Fractional positions:
Nd 0.500 0.500 0.612
Nd 0.000 0.000 0.223
Zn 0.000 0.000 0.500
Zn 0.500 0.500 0.113
Nd 0.000 0.000 0.777
Nd 0.500 0.500 0.388
Zn 0.500 0.500 0.887
Nd 0.000 0.000 0.000

Space group   P4/mmm (123)
Density   6863 kg/m³
Formation energy from the elements   -0.2248 eV/atom

[7]
An optimized crystal structure of BeAg3Au, computed with PBE.

a b c (Å): 4.432 4.432 4.432
angles (deg): 90.00 90.00 90.00
Fractional positions:
Au 0.500 0.500 0.500
Be 0.000 0.000 0.000
Ag 0.000 0.000 0.500
Ag 0.000 0.500 0.000
Ag 0.500 0.000 0.000

Space group   Pm-3m (221)
Density   10099 kg/m³
Formation energy from the elements   0.3770 eV/atom
ΔE to the lowest computed polymorph   0 meV/atom

[8]
An optimized crystal structure of PuGa4IrRh2, computed with PBE.

a b c (Å): 4.251 4.251 9.020
angles (deg): 76.37 76.37 60.00
Fractional positions:
Ga 0.869 0.869 0.392
Ga 0.601 0.601 0.198
Ga 0.399 0.399 0.802
Ir 0.500 0.500 0.500
Rh 0.234 0.234 0.297
Pu 0.000 0.000 0.000
Rh 0.766 0.766 0.703
Ga 0.131 0.131 0.608

Space group   R-3m (166)
Density   11258 kg/m³
Formation energy from the elements   -0.5110 eV/atom

[9]
An optimized crystal structure of Na2S2F, computed with PBE.

a b c (Å): 3.533 3.533 7.818
angles (deg): 76.94 76.94 90.00
Fractional positions:
S 0.750 0.250 0.500
Na 0.403 0.403 0.194
Na 0.597 0.597 0.806
S 0.250 0.750 0.500
F 0.000 0.000 0.000

Space group   I4/mmm (139)
Density   2319 kg/m³
ΔE to the lowest computed polymorph   115 meV/atom
Formation energy from raw total energies   -1.0832 eV/atom

[10]
An optimized crystal structure of BaCu2As, computed with PBE.

a b c (Å): 5.011 5.011 8.847
angles (deg): 73.55 73.55 90.00
Fractional positions:
Ba 0.000 0.000 0.000
Ba 0.750 0.250 0.500
Cu 0.375 0.125 0.250
As 0.500 0.500 0.000
Cu 0.375 0.625 0.250
Cu 0.375 0.625 0.750
As 0.250 0.750 0.500
Cu 0.875 0.625 0.750

Space group   I4_1/amd (141)
Density   5536 kg/m³
Formation energy from the elements   -0.3151 eV/atom

[11]
An optimized crystal structure of GaFe6Si, computed with PBE.

a b c (Å): 4.244 4.244 6.470
angles (deg): 77.01 77.01 71.21
Fractional positions:
Fe 0.374 0.374 0.911
Fe 0.061 0.531 0.306
Fe 0.531 0.061 0.306
Ga 0.000 0.000 0.000
Fe 0.626 0.626 0.089
Si 0.500 0.500 0.500
Fe 0.939 0.469 0.694
Fe 0.469 0.939 0.694

Space group   C2/m (12)
Density   6779 kg/m³
Formation energy from raw total energies   0.1075 eV/atom

[12]
An optimized crystal structure of LaSb2, computed with PBE.

a b c (Å): 6.334 6.334 6.334
angles (deg): 60.00 60.00 60.00
Fractional positions:
Sb 0.125 0.125 0.125
La 0.750 0.750 0.750
Sb 0.625 0.125 0.125
Sb 0.125 0.625 0.125
La 0.500 0.500 0.500
Sb 0.125 0.125 0.625

Space group   Fd-3m (227)
Density   7068 kg/m³
Formation energy from raw total energies   -0.4201 eV/atom

[13]
An optimized crystal structure of CsB3Pt, computed with PBE.

a b c (Å): 4.328 4.328 4.328
angles (deg): 90.00 90.00 90.00
Fractional positions:
Pt 0.000 0.000 0.000
B 0.500 0.000 0.000
B 0.000 0.000 0.500
Cs 0.500 0.500 0.500
B 0.000 0.500 0.000

Space group   Pm-3m (221)
Density   7382 kg/m³
Formation energy from the elements   1.1823 eV/atom
ΔE to the lowest computed polymorph   0 meV/atom

[14]
An optimized crystal structure of HfFeOs3, computed with PBE.

a b c (Å): 4.730 4.730 4.730
angles (deg): 90.00 90.00 90.00
Fractional positions:
Hf 0.000 0.000 0.000
Os 0.000 0.500 0.000
Os 0.500 0.000 0.000
Fe 0.500 0.500 0.500
Os 0.000 0.000 0.500

Space group   Pm-3m (221)
Density   12631 kg/m³
Formation energy from the elements   2.8220 eV/atom
ΔE to the lowest computed polymorph   1723 meV/atom

[15]
An optimized crystal structure of TcO2, computed with PBE.

a b c (Å): 4.818 5.531 5.588
angles (deg): 61.79 90.00 90.00
Fractional positions:
O 0.809 0.894 0.913
O 0.691 0.894 0.413
Tc 0.495 0.265 0.220
Tc 0.005 0.265 0.720
O 0.787 0.392 0.377
O 0.713 0.392 0.877
O 0.287 0.608 0.123
Tc 0.995 0.735 0.280
O 0.213 0.608 0.623
O 0.309 0.106 0.587
O 0.191 0.106 0.087
Tc 0.505 0.735 0.780

Space group   P2_1/c (14)
Density   6581 kg/m³
ΔE to the lowest computed polymorph   0 meV/atom
Formation energy from raw total energies   -1.4143 eV/atom

[16]
An optimized crystal structure of DyY2Th, computed with PBE.

a b c (Å): 3.579 3.579 11.747
angles (deg): 81.24 81.24 60.00
Fractional positions:
Y 0.751 0.751 0.746
Th 0.500 0.500 0.500
Dy 0.000 0.000 0.000
Y 0.249 0.249 0.254

Space group   R-3m (166)
Density   7408 kg/m³
Formation energy from the elements   0.0255 eV/atom
ΔE to the lowest computed polymorph   0 meV/atom

[17]
An optimized crystal structure of Li3Ga4Ag, computed with PBE.

a b c (Å): 3.238 4.125 10.415
angles (deg): 101.49 98.94 90.00
Fractional positions:
Li 0.000 0.500 0.000
Li 0.137 0.139 0.273
Ga 0.596 0.598 0.191
Ga 0.404 0.402 0.809
Ga 0.723 0.723 0.446
Li 0.863 0.861 0.727
Ga 0.277 0.277 0.554
Ag 0.500 0.000 0.000

Space group   C2/m (12)
Density   5028 kg/m³
Formation energy from the elements   -0.1810 eV/atom

[18]
An optimized crystal structure of BaCeMg6, computed with PBE.

a b c (Å): 7.214 7.214 5.187
angles (deg): 90.00 90.00 118.97
Fractional positions:
Mg 0.215 0.376 0.500
Mg 0.308 0.692 0.000
Mg 0.346 0.218 0.000
Mg 0.782 0.654 0.000
Mg 0.899 0.101 0.000
Mg 0.624 0.785 0.500
Ba 0.701 0.299 0.500
Ce 0.124 0.876 0.500

Space group   Amm2 (38)
Density   2976 kg/m³
Formation energy from the elements   0.1279 eV/atom

[19]
An optimized crystal structure of BaLi2Ca2In2, computed with PBE.

a b c (Å): 5.111 5.111 10.543
angles (deg): 75.97 75.97 60.00
Fractional positions:
Ba 0.000 0.000 0.000
Li 0.586 0.586 0.241
In 0.250 0.250 0.249
Li 0.414 0.414 0.759
In 0.750 0.750 0.751
Ca 0.868 0.868 0.395
Ca 0.132 0.132 0.605

Space group   R-3m (166)
Density   3343 kg/m³
Formation energy from the elements   -0.2427 eV/atom

[20]
An optimized crystal structure of K3Er2BiS6, computed with PBE.

a b c (Å): 7.051 7.051 7.731
angles (deg): 98.75 98.75 120.00
Fractional positions:
Er 0.667 0.333 0.000
K 0.836 0.164 0.500
S 0.277 0.277 0.797
S 0.723 0.723 0.203
S 0.932 0.588 0.797
Er 0.333 0.667 0.000
K 0.164 0.836 0.500
S 0.412 0.068 0.203
Bi 0.000 0.000 0.000
K 0.500 0.500 0.500
S 0.068 0.412 0.203
S 0.588 0.932 0.797

Space group   C2/m (12)
Density   4468 kg/m³
Formation energy from raw total energies   -1.5295 eV/atom

[21]
An optimized crystal structure of TaPd6Pb, computed with PBE.

a b c (Å): 4.024 4.024 8.161
angles (deg): 90.00 90.00 90.00
Fractional positions:
Ta 0.000 0.000 0.500
Pb 0.000 0.000 0.000
Pd 0.500 0.500 0.500
Pd 0.500 0.000 0.269
Pd 0.500 0.500 0.000
Pd 0.500 0.000 0.731
Pd 0.000 0.500 0.731
Pd 0.000 0.500 0.269

Space group   P4/mmm (123)
Density   12902 kg/m³
Formation energy from the elements   -0.3765 eV/atom

[22]
An optimized crystal structure of Fe3Au, computed with PBE.

a b c (Å): 8.584 8.584 8.584
angles (deg): 18.37 18.37 18.37
Fractional positions:
Au 0.000 0.000 0.000
Fe 0.500 0.500 0.500
Fe 0.758 0.758 0.758
Fe 0.242 0.242 0.242

Space group   R-3m (166)
Density   11036 kg/m³
Formation energy from the elements   0.2357 eV/atom

[23]
An optimized crystal structure of BaMgCl2, computed with PBE.

a b c (Å): 6.129 5.876 5.682
angles (deg): 64.82 83.62 117.89
Fractional positions:
Cl 0.500 0.000 0.500
Cl 0.000 0.000 0.000
Ba 0.500 0.500 0.000
Mg 0.000 0.500 0.500

Space group   C2/m (12)
Density   2560 kg/m³
ΔE to the lowest computed polymorph   177 meV/atom
Formation energy from raw total energies   -1.3278 eV/atom

[24]
An optimized crystal structure of Mg3InIr2, computed with PBE.

a b c (Å): 4.233 7.875 7.562
angles (deg): 121.38 106.25 90.00
Fractional positions:
Mg 0.500 0.250 0.000
Mg 0.179 0.929 0.357
Mg 0.179 0.429 0.357
Mg 0.821 0.571 0.643
Ir 0.336 0.336 0.673
In 0.000 0.000 0.000
Ir 0.664 0.164 0.327
Mg 0.821 0.071 0.643
Ir 0.336 0.836 0.673
In 0.000 0.500 0.000
Mg 0.500 0.750 0.000
Ir 0.664 0.664 0.327

Space group   Cmmm (65)
Density   9345 kg/m³
Formation energy from the elements   -0.2451 eV/atom